The following is a DFT calculation (GGA-PBE) of a relaxed structure of Sb2TeCl.

Cell: 3.215 3.215 11.629 Å, 90.00 90.00 90.00°
Space group P4mm (No. 99)
Symmetry-distinct sites (fractional):
Sb 0.000 0.000 0.000 x1
Sb 0.500 0.500 0.212 x1
Te 0.000 0.000 0.498 x1
Cl 0.500 0.500 0.835 x1

Output
**D(E_F)**: 2.26 states/eV per cell
**Calculated density**: 5.618 g cm⁻³
**Calculated volume**: 120.2 Å³/f.u.
**Raw formation energy**: 88.2 meV per atom

=====

The following is a DFT calculation (GGA-PBE) of a relaxed structure of NdMgSi2Ir.

Cell: 4.089 4.089 10.883 Å, 90.00 90.00 90.00°
Space group I-4m2 (No. 119)
Symmetry-distinct sites (fractional):
Nd 0.000 0.000 0.000 x2
Mg 0.000 0.500 0.750 x2
Si 0.000 0.000 0.389 x4
Ir 0.000 0.500 0.250 x2

Output
**D(E_F)**: 3.77 states/eV per cell
**Calculated density**: 7.609 g cm⁻³
**Calculated volume**: 91.0 Å³/f.u.
**Raw formation energy**: -736.4 meV per atom

=====

The following is a DFT calculation (GGA-PBE) of a relaxed structure of La4Er3Tm2.

Cell: 15.335 5.129 8.034 Å, 90.00 108.34 90.00°
Space group C2/m (No. 12)
Symmetry-distinct sites (fractional):
La 0.053 0.000 0.328 x4
La 0.224 0.500 0.332 x4
Er 0.000 0.500 0.000 x2
Er 0.112 0.500 0.672 x4
Tm 0.168 0.000 0.000 x4

Output
**D(E_F)**: 30.76 states/eV per cell
**Calculated density**: 7.727 g cm⁻³
**Energy relative to the elements**: 36 meV per atom
**Calculated volume**: 299.9 Å³/f.u.

=====

The following is a DFT calculation (GGA-PBE) of a relaxed structure of Ce4PaS5.

Cell: 8.916 8.916 5.638 Å, 90.00 90.00 90.00°
Space group I4/m (No. 87)
Symmetry-distinct sites (fractional):
Ce 0.098 0.700 0.000 x8
Pa 0.000 0.000 0.500 x2
S 0.000 0.000 0.000 x2
S 0.099 0.705 0.500 x8

Output
**D(E_F)**: 39.44 states/eV per cell
**Calculated density**: 7.052 g cm⁻³
**Calculated volume**: 224.1 Å³/f.u.
**Raw formation energy**: -1947.0 meV per atom